[1]
Y2MgPdO6: relaxed, PBE.

Cell lengths 5.361, 5.700, 7.726 Å; angles 90.00, 90.32, 90.00 degrees
Positions (direct):
O  0.313  0.698  0.438
O  0.620  0.047  0.253
O  0.687  0.302  0.562
O  0.192  0.194  0.441
O  0.813  0.802  0.938
O  0.880  0.547  0.247
O  0.308  0.694  0.059
O  0.692  0.306  0.941
O  0.808  0.806  0.559
O  0.187  0.198  0.062
O  0.120  0.453  0.753
O  0.380  0.953  0.747
Y  0.479  0.428  0.249
Y  0.021  0.928  0.251
Y  0.521  0.572  0.751
Y  0.979  0.072  0.749
Pd  0.000  0.500  0.000
Pd  0.500  0.000  0.500
Mg  0.000  0.500  0.500
Mg  0.500  0.000  0.000

Calculated values
Magnetization = 0.00 Bohr magnetons per cell
Formation energy without anion corrections = -2.447 eV per atom
Space-group type = P2_1/c (14)

---

[2]
Y2MgPdO: relaxed, PBE.

Cell lengths 4.787, 4.787, 4.136 Å; angles 90.00, 90.00, 90.00 degrees
Positions (direct):
Y  0.000  0.500  0.000
Y  0.500  0.000  0.000
O  0.000  0.000  0.000
Pd  0.500  0.500  0.500
Mg  0.000  0.000  0.500

Calculated values
Magnetization = 0.00 Bohr magnetons per cell
Formation energy without anion corrections = -1.393 eV per atom
Space-group type = P4/mmm (123)

---

[3]
MgZnPdO4: relaxed, PBE.

Cell lengths 6.142, 6.074, 5.995 Å; angles 119.57, 90.00, 120.37 degrees
Positions (direct):
Pd  0.000  0.500  0.500
Pd  0.500  0.500  0.500
O  0.741  0.026  0.263
O  0.253  0.506  0.275
O  0.715  0.974  0.737
O  0.747  0.494  0.725
O  0.259  0.974  0.737
O  0.285  0.026  0.263
O  0.253  0.506  0.731
O  0.747  0.494  0.269
Mg  0.500  0.000  0.000
Mg  0.500  0.000  0.500
Zn  0.101  0.202  0.851
Zn  0.899  0.798  0.149

Calculated values
Magnetization = 0.00 Bohr magnetons per cell
Formation energy without anion corrections = -1.384 eV per atom
Space-group type = Imma (74)

---

Question: What is the formation energy without anion corrections in the second record?
Answer: -1.393 eV per atom